Density functional theory data (PBE) for crystalline LaHoTm2S4 at its relaxed geometry.

Properties
energy relative to the elements, uncorrected = -188.2 kJ per mole of atoms
E = -6.3207 eV per atom
calculated volume = 345.8 Å³/cell
SG = I4/mmm

Cell lengths 5.5730, 5.5730, 11.1336 Å; angles 90.00, 90.00, 90.00 degrees
Element x y z (fractional)
La 0.0000 0.0000 0.0000
La 0.5000 0.5000 0.5000
Ho 0.0000 0.0000 0.5000
Ho 0.5000 0.5000 0.0000
Tm 0.0000 0.5000 0.2500
Tm 0.0000 0.5000 0.7500
Tm 0.5000 0.0000 0.2500
Tm 0.5000 0.0000 0.7500
S 0.0000 0.0000 0.2573
S 0.0000 0.0000 0.7427
S 0.0000 0.5000 0.0000
S 0.0000 0.5000 0.5000
S 0.5000 0.0000 0.0000
S 0.5000 0.0000 0.5000
S 0.5000 0.5000 0.2427
S 0.5000 0.5000 0.7573